Entry 1:
Here is an optimized crystal structure of CaLa2Ge4Pt3 from the Alexandria database. Energies are from GGA-PBE.

Properties
**DOS at the Fermi energy**: 0.541 states/eV per atom
**M_tot**: 0.000 μB/cell
**Energy of formation**: -0.8845 eV/atom

```
CaLa2Ge4Pt3
1.0
-1.9991 -3.6713 1.3061
0.1251 -1.5276 -4.1026
9.9411 -4.6847 2.0476
Ca Ge La Pt
1 4 2 3
direct
0.5000 0.5000 0.5000
0.0000 0.5000 0.3376
0.0000 0.0000 0.0000
0.5000 0.5000 0.0000
0.5000 0.0000 0.6624
0.5000 0.0000 0.2323
0.0000 0.5000 0.7677
0.5000 0.0000 0.8848
0.0000 0.5000 0.1152
0.0000 0.0000 0.5000
```

---

Entry 2:
Here is an optimized crystal structure of BaReHg2 from the Alexandria database. Energies are from GGA-PBE.

Properties
**Relative energy among the computed polymorphs**: 0.0 kJ per mole of atoms
**DOS at the Fermi energy**: 1.054 states/eV per atom
**M_tot**: 0.141 μB/cell
**Energy of formation**: 0.5869 eV/atom

```
BaReHg2
1.0
-1.8547 -7.6108 -1.0241
-0.3501 -7.7101 1.6869
-4.1287 -0.8184 2.2614
Hg Re Ba
2 1 1
direct
0.0041 0.0041 0.9934
0.1719 0.1719 0.3315
0.5081 0.5081 0.4888
0.8159 0.8159 0.6863
```

---

Entry 3:
Here is an optimized crystal structure of Sc2Ga2Tc from the Alexandria database. Energies are from GGA-PBE.

Properties
**DOS at the Fermi energy**: 0.882 states/eV per atom
**M_tot**: 0.000 μB/cell
**Energy of formation**: -0.4170 eV/atom

```
Sc2Ga2Tc
1.0
-5.4152 0.9032 -4.2008
2.9131 -4.1963 -4.6575
-1.7131 -2.9389 1.5764
Sc Tc Ga
4 2 4
direct
0.6776 0.8224 0.5000
0.8224 0.3224 0.5000
0.3224 0.1776 0.5000
0.1776 0.6776 0.5000
0.0000 0.0000 0.0000
0.5000 0.5000 0.0000
0.8697 0.6303 0.0000
0.1303 0.3697 0.0000
0.3697 0.8697 0.0000
0.6303 0.1303 0.0000
```

---

Entry 4:
Here is an optimized crystal structure of PuCdAg from the Alexandria database. Energies are from GGA-PBE.

Properties
**DOS at the Fermi energy**: 2.669 states/eV per atom
**M_tot**: 5.964 μB/cell
**Energy of formation**: 0.0005 eV/atom

```
PuCdAg
1.0
2.9622 0.0000 0.0000
0.0000 4.6161 0.0000
-1.4811 -2.3080 4.9929
Cd Pu Ag
1 1 1
direct
0.6768 0.6768 0.3535
0.9998 0.9998 0.9996
0.3235 0.3235 0.6469
```

---

Entry 5:
Here is an optimized crystal structure of SrScNi4 from the Alexandria database. Energies are from GGA-PBE.

Properties
**DOS at the Fermi energy**: 1.166 states/eV per atom
**M_tot**: 0.000 μB/cell
**Energy of formation**: -0.1591 eV/atom

```
SrScNi4
1.0
-0.0648 -0.4772 5.0475
-3.2057 -3.2561 2.1977
1.7709 -4.2267 2.1698
Ni Sc Sr
4 1 1
direct
0.3762 0.8714 0.3762
0.8714 0.3762 0.3762
0.3762 0.3762 0.8714
0.3762 0.3762 0.3762
0.7500 0.7500 0.7500
0.0000 0.0000 0.0000
```

---

Entry 6:
Here is an optimized crystal structure of NiSb2Au from the Alexandria database. Energies are from GGA-PBE.

Properties
**DOS at the Fermi energy**: 0.825 states/eV per atom
**M_tot**: 0.000 μB/cell
**Formation energy without anion corrections**: 0.041 eV/atom

```
NiSb2Au
1.0
6.8234 0.0654 0.0024
4.7800 4.8698 -0.0024
-5.5448 -3.0715 2.5266
Sb Au Ni
2 1 1
direct
0.2260 0.7260 0.5000
0.9391 0.9391 0.0000
0.5649 0.5649 0.0000
0.7699 0.2699 0.5000
```